Entry 1:
Rb3Pm3InTe8, relaxed, DFT PBE; SG = No. 12; raw total energy = -61.5 eV for the cell shown
1.0
7.7911 -4.4880 0.0000
7.7911 4.4880 0.0000
-5.2020 0.0000 8.8741
Rb Pm In Te
3 3 1 8
direct
0.0000 0.0000 0.0000
0.0000 0.5000 0.0000
0.5000 0.0000 0.0000
0.0000 0.5000 0.5000
0.5000 0.0000 0.5000
0.5000 0.5000 0.5000
0.0000 0.0000 0.5000
0.2285 0.2285 0.6983
0.2287 0.7410 0.6985
0.2590 0.7713 0.3015
0.2649 0.2649 0.2949
0.7351 0.7351 0.7051
0.7410 0.2287 0.6985
0.7713 0.2590 0.3015
0.7715 0.7715 0.3017


Entry 2:
Al2TeS, relaxed, DFT PBE; offset from the most stable computed form = 276 meV per atom; SG = No. 225; raw total energy = -58.0 eV for the cell shown
1.0
6.8351 0.0000 0.0000
0.0000 6.8351 0.0000
0.0000 0.0000 6.8351
Al Te S
8 4 4
direct
0.2500 0.2500 0.2500
0.2500 0.2500 0.7500
0.2500 0.7500 0.2500
0.2500 0.7500 0.7500
0.7500 0.2500 0.2500
0.7500 0.2500 0.7500
0.7500 0.7500 0.2500
0.7500 0.7500 0.7500
0.0000 0.0000 0.0000
0.0000 0.5000 0.5000
0.5000 0.0000 0.5000
0.5000 0.5000 0.0000
0.0000 0.0000 0.5000
0.0000 0.5000 0.0000
0.5000 0.0000 0.0000
0.5000 0.5000 0.5000


Entry 3:
La5PmTm2Sc, relaxed, DFT PBE; energy of formation from the pure elements = 2.7 eV per formula unit; SG = No. 127; raw total energy = -83.9 eV for the cell shown
1.0
8.0717 0.0000 0.0000
0.0000 8.0717 0.0000
0.0000 0.0000 9.6967
La Pm Tm Sc
10 2 4 2
direct
0.0000 0.0000 0.0000
0.2064 0.2936 0.2693
0.2064 0.2936 0.7307
0.2936 0.7936 0.2693
0.2936 0.7936 0.7307
0.5000 0.5000 0.0000
0.7064 0.2064 0.2693
0.7064 0.2064 0.7307
0.7936 0.7064 0.2693
0.7936 0.7064 0.7307
0.0000 0.0000 0.5000
0.5000 0.5000 0.5000
0.1288 0.6288 0.0000
0.3712 0.1288 0.0000
0.6288 0.8712 0.0000
0.8712 0.3712 0.0000
0.0000 0.5000 0.5000
0.5000 0.0000 0.5000


Entry 4:
Rb2AlCd, relaxed, DFT PBE; offset from the most stable computed form = 50 meV per atom; energy of formation from the pure elements = 1.7 eV per formula unit; SG = No. 122; raw total energy = -19.6 eV for the cell shown
1.0
10.1585 0.0000 0.0000
0.0000 10.1585 0.0000
0.0000 0.0000 6.8397
Rb Al Cd
8 4 4
direct
0.2472 0.2500 0.1250
0.2500 0.7472 0.3750
0.2500 0.7528 0.8750
0.2528 0.2500 0.6250
0.7472 0.7500 0.6250
0.7500 0.2472 0.8750
0.7500 0.2528 0.3750
0.7528 0.7500 0.1250
0.0000 0.0000 0.5000
0.0000 0.5000 0.7500
0.5000 0.0000 0.2500
0.5000 0.5000 0.0000
0.0000 0.0000 0.0000
0.0000 0.5000 0.2500
0.5000 0.0000 0.7500
0.5000 0.5000 0.5000


Entry 5:
Sn2Pd2Pb, relaxed, DFT PBE; energy of formation from the pure elements = -1.3 eV per formula unit; SG = No. 139; raw total energy = -46.8 eV for the cell shown
1.0
4.7120 0.0000 0.0000
0.0000 4.7120 0.0000
0.0000 0.0000 10.7119
Sn Pd Pb
4 4 2
direct
0.0000 0.0000 0.1334
0.0000 0.0000 0.8666
0.5000 0.5000 0.3666
0.5000 0.5000 0.6334
0.0000 0.5000 0.2500
0.0000 0.5000 0.7500
0.5000 0.0000 0.2500
0.5000 0.0000 0.7500
0.0000 0.0000 0.5000
0.5000 0.5000 0.0000


Entry 6:
RbBiOs3, relaxed, DFT PBE; offset from the most stable computed form = 1055 meV per atom; energy of formation from the pure elements = 18.8 eV per formula unit; SG = No. 221; raw total energy = -19.8 eV for the cell shown
1.0
4.8332 0.0000 0.0000
0.0000 4.8332 0.0000
0.0000 0.0000 4.8332
Rb Bi Os
1 1 3
direct
0.0000 0.0000 0.0000
0.5000 0.5000 0.5000
0.0000 0.0000 0.5000
0.0000 0.5000 0.0000
0.5000 0.0000 0.0000


Entry 7:
Rb3LaTc, relaxed, DFT PBE; energy of formation from the pure elements = 9.6 eV per formula unit; SG = No. 221; raw total energy = -8.6 eV for the cell shown
1.0
7.1501 0.0000 0.0000
0.0000 7.1501 0.0000
0.0000 0.0000 7.1501
Rb La Tc
3 1 1
direct
0.0000 0.0000 0.5000
0.0000 0.5000 0.0000
0.5000 0.0000 0.0000
0.0000 0.0000 0.0000
0.5000 0.5000 0.5000


Entry 8:
BaSn2N, relaxed, DFT PBE; SG = No. 122; raw total energy = -70.4 eV for the cell shown
1.0
7.8650 0.0000 0.0000
0.0000 7.8650 0.0000
0.0000 0.0000 6.9438
Ba Sn N
4 8 4
direct
0.0000 0.0000 0.0000
0.0000 0.5000 0.2500
0.5000 0.0000 0.7500
0.5000 0.5000 0.5000
0.1327 0.7500 0.6250
0.2500 0.1327 0.3750
0.2500 0.3673 0.8750
0.3673 0.7500 0.1250
0.6327 0.2500 0.1250
0.7500 0.6327 0.8750
0.7500 0.8673 0.3750
0.8673 0.2500 0.6250
0.0000 0.0000 0.5000
0.0000 0.5000 0.7500
0.5000 0.0000 0.2500
0.5000 0.5000 0.0000


Entry 9:
Pm2PuSe2N2, relaxed, DFT PBE; SG = No. 139; raw total energy = -115.8 eV for the cell shown
1.0
4.3073 0.0000 0.0000
0.0000 4.3073 0.0000
0.0000 0.0000 15.3896
Pm Pu Se N
4 2 4 4
direct
0.0000 0.0000 0.1179
0.0000 0.0000 0.8821
0.5000 0.5000 0.3821
0.5000 0.5000 0.6179
0.0000 0.0000 0.5000
0.5000 0.5000 0.0000
0.0000 0.0000 0.3162
0.0000 0.0000 0.6838
0.5000 0.5000 0.1838
0.5000 0.5000 0.8162
0.0000 0.5000 0.0000
0.0000 0.5000 0.5000
0.5000 0.0000 0.0000
0.5000 0.0000 0.5000


Entry 10:
LuTh2In, relaxed, DFT PBE; offset from the most stable computed form = 0 meV per atom; energy of formation from the pure elements = -0.7 eV per formula unit; SG = No. 123; raw total energy = -22.8 eV for the cell shown
1.0
4.8113 0.0000 0.0000
0.0000 4.8113 0.0000
0.0000 0.0000 5.0312
Lu Th In
1 2 1
direct
0.0000 0.0000 0.0000
0.0000 0.5000 0.5000
0.5000 0.0000 0.5000
0.5000 0.5000 0.0000


Entry 11:
BeAgSe, relaxed, DFT PBE; offset from the most stable computed form = 0 meV per atom; SG = No. 166; raw total energy = -21.6 eV for the cell shown
1.0
1.7822 1.0289 10.8876
-1.7822 1.0289 10.8876
0.0000 -2.0579 10.8876
Be Ag Se
2 2 2
direct
0.0763 0.0763 0.0763
0.9237 0.9237 0.9237
0.1958 0.1958 0.1958
0.8042 0.8042 0.8042
0.2776 0.2776 0.2776
0.7224 0.7224 0.7224


Entry 12:
CsSnIr3, relaxed, DFT PBE; offset from the most stable computed form = 1224 meV per atom; energy of formation from the pure elements = 13.8 eV per formula unit; SG = No. 221; raw total energy = -17.6 eV for the cell shown
1.0
5.0431 0.0000 0.0000
0.0000 5.0431 0.0000
0.0000 0.0000 5.0431
Cs Sn Ir
1 1 3
direct
0.0000 0.0000 0.0000
0.5000 0.5000 0.5000
0.0000 0.0000 0.5000
0.0000 0.5000 0.0000
0.5000 0.0000 0.0000


Entry 13:
BaBPO2, relaxed, DFT PBE; offset from the most stable computed form = 0 meV per atom; SG = No. 123; raw total energy = -25.9 eV for the cell shown
1.0
4.3476 0.0000 0.0000
0.0000 4.3476 0.0000
0.0000 0.0000 3.7454
Ba B P O
1 1 1 2
direct
0.0000 0.0000 0.0000
0.5000 0.5000 0.5000
0.5000 0.5000 0.0000
0.0000 0.5000 0.5000
0.5000 0.0000 0.5000


Entry 14:
YPaBe, relaxed, DFT PBE; energy of formation from the pure elements = 0.7 eV per formula unit; SG = No. 70; raw total energy = -75.9 eV for the cell shown
1.0
0.0000 4.7060 9.7343
2.8543 0.0000 9.7343
2.8543 4.7060 0.0000
Y Pa Be
4 4 4
direct
0.0485 0.7015 0.0485
0.2985 0.9515 0.2985
0.7015 0.0485 0.7015
0.9515 0.2985 0.9515
0.2908 0.2908 0.4592
0.4592 0.4592 0.2908
0.5408 0.5408 0.7092
0.7092 0.7092 0.5408
0.0004 0.0004 0.2496
0.9996 0.9996 0.7504
0.2496 0.2496 0.0004
0.7504 0.7504 0.9996